DFT (SCAN) results for a crystal of CeSb12Os4 relaxed with PBEsol.

Results
- Magnetization: 0.11 μB per cell
- Formation energy from raw total energies: -280 meV/atom

Unit cell a=8.0430 b=8.0430 c=8.0430 alpha=109.47 beta=109.47 gamma=109.47
With the nearest neighbours (Å) after each atom.
Positions (direct):
Ce  0.0000  0.0000  0.0000  12 Sb 3.47
Sb  0.1569  0.4958  0.3390  2 Os 2.61, 1 Sb 2.91
Sb  0.1569  0.8179  0.6610  2 Os 2.61, 1 Sb 2.91
Sb  0.1821  0.3390  0.8431  2 Os 2.61, 1 Sb 2.91
Sb  0.3390  0.1569  0.4958  2 Os 2.61, 1 Sb 2.91
Sb  0.3390  0.8431  0.1821  2 Os 2.61, 1 Sb 2.91
Sb  0.4958  0.3390  0.1569  2 Os 2.61, 1 Sb 2.91
Sb  0.5042  0.6610  0.8431  2 Os 2.61, 1 Sb 2.91
Sb  0.6610  0.1569  0.8179  2 Os 2.61, 1 Sb 2.91
Sb  0.6610  0.8431  0.5042  2 Os 2.61, 1 Sb 2.91
Sb  0.8179  0.6610  0.1569  2 Os 2.61, 1 Sb 2.91
Sb  0.8431  0.1821  0.3390  2 Os 2.61, 1 Sb 2.91
Sb  0.8431  0.5042  0.6610  2 Os 2.61, 1 Sb 2.91
Os  0.0000  0.0000  0.5000  6 Sb 2.61
Os  0.0000  0.5000  0.0000  6 Sb 2.61
Os  0.5000  0.0000  0.0000  6 Sb 2.61
Os  0.5000  0.5000  0.5000  6 Sb 2.61